No. 1
## LaZnPb2 (meta-GGA SCAN)

Data for LaZnPb2 at its PBEsol-relaxed geometry.

Cell lengths 4.7590, 4.7590, 4.5974 Å; angles 90.00, 90.00, 90.00 degrees
With the nearest neighbours (Å) after each atom.
Fractional positions:
La: 0.0000 0.0000 0.0000  8 Pb 3.31, 4 Zn 3.37
Zn: 0.5000 0.5000 0.0000  8 Pb 3.31, 4 La 3.37
Pb: 0.0000 0.5000 0.5000  4 La 3.31, 4 Zn 3.31, 4 Pb 3.37
Pb: 0.5000 0.0000 0.5000  4 La 3.31, 4 Zn 3.31, 4 Pb 3.37

- ΔE_f: -481 meV per atom
- Crystal system: tetragonal
- Space-group type: No. 123


No. 2
## CdHg2BTe (meta-GGA SCAN)

Data for CdHg2BTe at its PBEsol-relaxed geometry.

Cell lengths 5.6450, 5.6450, 5.6119 Å; angles 90.00, 90.00, 90.00 degrees
With the nearest neighbours (Å) after each atom.
Fractional positions:
Cd: 0.0000 0.0000 0.0000  2 Te 2.81
Hg: 0.0000 0.5000 0.5000  2 Te 2.82
Hg: 0.5000 0.0000 0.5000  2 Te 2.82
B: 0.5000 0.5000 0.0000  8 Hg 3.98, 4 Cd 3.99
Te: 0.0000 0.0000 0.5000  2 Cd 2.81, 4 Hg 2.82

- Crystal system: tetragonal
- Space-group type: No. 123
- E_form (uncorrected): 1.366 eV/atom


Q: Which formula does entry 2 have?
A: CdHg2BTe


What did the second record say?
## CdHg2BTe (meta-GGA SCAN)

Data for CdHg2BTe at its PBEsol-relaxed geometry.

Cell lengths 5.6450, 5.6450, 5.6119 Å; angles 90.00, 90.00, 90.00 degrees
With the nearest neighbours (Å) after each atom.
Fractional positions:
Cd: 0.0000 0.0000 0.0000  2 Te 2.81
Hg: 0.0000 0.5000 0.5000  2 Te 2.82
Hg: 0.5000 0.0000 0.5000  2 Te 2.82
B: 0.5000 0.5000 0.0000  8 Hg 3.98, 4 Cd 3.99
Te: 0.0000 0.0000 0.5000  2 Cd 2.81, 4 Hg 2.82

- Crystal system: tetragonal
- Space-group type: No. 123
- E_form (uncorrected): 1.366 eV/atom